# Mg2CoPb (PBE, relaxed)
data_Mg2CoPb
_chemical_formula_sum 'Mg8 Co4 Pb4'
_cell_length_a 6.6548
_cell_length_b 6.6548
_cell_length_c 6.6548
_cell_angle_alpha 90.00
_cell_angle_beta 90.00
_cell_angle_gamma 90.00
_symmetry_space_group_name_H-M 'F -4 3 m'
_symmetry_Int_Tables_number 216
_symmetry_space_group_name_Hall 'F -4 2 3'
loop_
_atom_site_label
_atom_site_type_symbol
_atom_site_fract_x
_atom_site_fract_y
_atom_site_fract_z
Mg1 Mg 0.0000 0.0000 0.0000
Mg2 Mg 0.2500 0.2500 0.2500
Co1 Co 0.0000 0.0000 0.5000
Pb1 Pb 0.2500 0.2500 0.7500
# Formation enthalpy at 0 K (meV/atom): 238

***

# Mg2CoPb (PBE, relaxed)
data_Mg2CoPb
_chemical_formula_sum 'Mg2 Co1 Pb1'
_cell_length_a 3.6613
_cell_length_b 3.3893
_cell_length_c 6.9557
_cell_angle_alpha 90.00
_cell_angle_beta 105.21
_cell_angle_gamma 90.00
_symmetry_space_group_name_H-M 'P 1 m 1'
_symmetry_Int_Tables_number 6
loop_
_symmetry_equiv_pos_as_xyz
'x,y,z'
'x,-y,z'
loop_
_atom_site_label
_atom_site_type_symbol
_atom_site_fract_x
_atom_site_fract_y
_atom_site_fract_z
Mg1 Mg 0.0000 0.0000 0.0000
Mg2 Mg 0.3594 0.5000 0.7175
Co1 Co 0.5547 0.5000 0.1099
Pb1 Pb 0.7108 0.0000 0.4162
# Formation enthalpy at 0 K (meV/atom): 175

***

# Mg2CoPb2 (PBE, relaxed)
data_Mg2CoPb2
_chemical_formula_sum 'Mg4 Co2 Pb4'
_cell_length_a 7.0036
_cell_length_b 7.0036
_cell_length_c 4.7091
_cell_angle_alpha 90.00
_cell_angle_beta 90.00
_cell_angle_gamma 90.00
_symmetry_space_group_name_H-M 'P 4/m b m'
_symmetry_Int_Tables_number 127
_symmetry_space_group_name_Hall '-P 4 2ab'
loop_
_atom_site_label
_atom_site_type_symbol
_atom_site_fract_x
_atom_site_fract_y
_atom_site_fract_z
Mg1 Mg 0.1543 0.3457 0.0000
Co1 Co 0.0000 0.0000 0.0000
Pb1 Pb 0.1688 0.6688 0.5000
# Distance to the lowest polymorph of the same formula (kJ per mole of atoms): 8.1
# Formation enthalpy at 0 K (meV/atom): 358

***

# Mg2CoPb (PBE, relaxed)
data_Mg2CoPb
_chemical_formula_sum 'Mg4 Co2 Pb2'
_cell_length_a 10.4954
_cell_length_b 3.5202
_cell_length_c 4.6526
_cell_angle_alpha 90.00
_cell_angle_beta 116.02
_cell_angle_gamma 90.00
_symmetry_space_group_name_H-M 'C 1 2/m 1'
_symmetry_Int_Tables_number 12
loop_
_symmetry_equiv_pos_as_xyz
'x,y,z'
'-x,-y,-z'
'-x,y,-z'
'x,-y,z'
'x+1/2,y+1/2,z'
'-x+1/2,-y+1/2,-z'
'-x+1/2,y+1/2,-z'
'x+1/2,-y+1/2,z'
loop_
_atom_site_label
_atom_site_type_symbol
_atom_site_fract_x
_atom_site_fract_y
_atom_site_fract_z
Mg1 Mg 0.2192 0.0000 0.2188
Co1 Co 0.0000 0.5000 0.0000
Pb1 Pb 0.0000 0.0000 0.5000
# Formation enthalpy at 0 K (meV/atom): 193